A.
A relaxed structure of TiNi2N, computed with PBE.

Properties
Symmetry: No. 122

Cell: 4.190 4.190 6.561 Å, 71.38 71.38 90.00°
Fractional coordinates of all 8 atoms:
1 Ti 0.000 0.000 0.000
2 Ti 0.750 0.250 0.500
3 N 0.500 0.500 0.000
4 N 0.250 0.750 0.500
5 Ni 0.375 0.510 0.750
6 Ni 0.260 0.625 0.250
7 Ni 0.875 0.740 0.750
8 Ni 0.490 0.125 0.250



B.
A relaxed structure of TiNi2N, computed with PBE.

Properties
Symmetry: No. 225

Cell: 3.963 3.963 3.963 Å, 60.00 60.00 60.00°
Fractional coordinates of all 4 atoms:
1 Ti 0.500 0.500 0.500
2 Ni 0.750 0.750 0.750
3 Ni 0.250 0.250 0.250
4 N 0.000 0.000 0.000



Stability verdict: A, ahead by 391 meV per atom